Record 1
Entry from Alexandria via LeMat-Bulk: an optimized crystal structure of NaReRu2 (GGA-PBE).

Cell: 4.362 4.362 4.362 Å, 60.00 60.00 60.00°
Sites, in units of the cell vectors:
Ru (0.750, 0.750, 0.750)
Ru (0.250, 0.250, 0.250)
Re (0.500, 0.500, 0.500)
Na (0.000, 0.000, 0.000)

Values from the calculation:
**ΔE_f**: 0.55 eV per atom
**E_tot**: -30.130 eV/cell
**Offset from the most stable computed form**: 0 meV/atom
**Total magnetic moment**: 0.00 μB/cell
**Symmetry**: No. 225



Record 2
Entry from Alexandria via LeMat-Bulk: an optimized crystal structure of CuMoH2 (GGA-PBE).

Cell: 2.884 2.884 5.170 Å, 73.80 73.80 60.00°
Sites, in units of the cell vectors:
Cu (0.489, 0.489, 0.532)
Mo (0.670, 0.670, 0.989)
H (0.073, 0.073, 0.780)
H (0.267, 0.267, 0.199)

Values from the calculation:
**E_tot**: -20.761 eV/cell
**Offset from the most stable computed form**: 21 meV/atom
**Total magnetic moment**: 0.00 μB/cell
**Symmetry**: No. 160